# Hf2BeCrCl

An optimized crystal structure of Hf2BeCrCl (PBE-GGA, Alexandria via LeMat-Bulk).

Cell: 4.6744 4.6744 4.2255 Å, 90.00 90.00 90.00°
Positions (direct):
Hf 0.0000 0.5000 0.0000
Hf 0.5000 0.0000 0.0000
Be 0.0000 0.0000 0.5000
Cr 0.5000 0.5000 0.5000
Cl 0.5000 0.5000 0.0000

## Properties
Calculated volume: 18.5 Å³/atom
Uncorrected energy: -6.412 eV per atom
Symmetry: P4/mmm, No. 123
Magnetization: 2.8 μB per cell

***

# BeCr2HgCl

An optimized crystal structure of BeCr2HgCl (PBE-GGA, Alexandria via LeMat-Bulk).

Cell: 4.7022 4.7022 4.4263 Å, 90.00 90.00 90.00°
Positions (direct):
Be 0.0000 0.0000 0.0000
Cr 0.0000 0.5000 0.0000
Cr 0.5000 0.0000 0.0000
Hg 0.5000 0.5000 0.5000
Cl 0.0000 0.0000 0.5000

## Properties
Calculated volume: 19.6 Å³/atom
Uncorrected energy: -4.215 eV per atom
Symmetry: P4/mmm, No. 123
Magnetization: 8.8 μB per cell

***

# KBe2CrCl8

An optimized crystal structure of KBe2CrCl8 (PBE-GGA, Alexandria via LeMat-Bulk).

Cell: 10.2841 10.2841 10.2841 Å, 33.45 33.45 33.45°
Positions (direct):
K 0.0000 0.0000 0.0000
Be 0.2371 0.2371 0.2371
Be 0.7629 0.7629 0.7629
Cr 0.5000 0.5000 0.5000
Cl 0.1241 0.7687 0.4622
Cl 0.2313 0.5378 0.8759
Cl 0.3047 0.3047 0.3047
Cl 0.4622 0.1241 0.7687
Cl 0.5378 0.8759 0.2313
Cl 0.6953 0.6953 0.6953
Cl 0.7687 0.4622 0.1241
Cl 0.8759 0.2313 0.5378

## Properties
Calculated volume: 24.5 Å³/atom
Uncorrected energy: -4.106 eV per atom
Symmetry: R-3, No. 148
Magnetization: 3.0 μB per cell

***

Number 1 is which compound?
Hf2BeCrCl

***

Which value of calculated volume does entry 1 give?
18.5 Å³/atom

***

What is the formula in the second record?
BeCr2HgCl